The following is a GGA-PBEsol calculation of crystalline BNF2 at its relaxed geometry, from Alexandria via LeMat-Bulk.

## Properties
E_form (uncorrected) (eV per atom): 1.598
D(E_F) (states/eV/cell): 1.2

Unit cell a=3.714 b=3.714 c=3.714 alpha=60.00 beta=60.00 gamma=60.00
Sites, in units of the cell vectors:
B1 0.000 0.000 0.000
N1 0.500 0.500 0.500
F1 0.250 0.250 0.250
F2 0.750 0.750 0.750

The following is a GGA-PBEsol calculation of crystalline AgHg2 at its relaxed geometry, from Alexandria via LeMat-Bulk.

## Properties
Polymorph energy (0 for the lowest one) (meV per atom): 1
D(E_F) (states/eV/cell): 2.2
Energy of formation from the pure elements (kJ per mole of atoms): 3

Unit cell a=5.529 b=5.529 c=5.529 alpha=104.27 beta=104.27 gamma=120.46
Sites, in units of the cell vectors:
Ag1 0.250 0.250 0.000
Ag2 0.750 0.750 0.000
Hg1 0.156 0.656 0.812
Hg2 0.344 0.156 0.500
Hg3 0.656 0.844 0.500
Hg4 0.844 0.344 0.188

no.,M_tot (μB per formula unit),calculated density (g/cm3)
1,1.976,2.9
2,0.000,13.4